Record 1
Crystalline Te2SI2 at its relaxed geometry, computed with GGA-PBE.

Cell lengths 5.450, 5.450, 6.021 Å; angles 90.00, 90.00, 90.00 degrees
Space group P4/mmm (No. 123)
One atom of each set of equivalent atoms:
Te 0.000 0.500 0.000 [2 per cell]
S 0.000 0.000 0.000 [1 per cell]
I 0.000 0.500 0.500 [2 per cell]

Output
electronic total energy	-2.531	eV per atom
Fermi-level density of states	0.7194	states/eV per atom
E_form (uncorrected)	0.17	eV/atom
crystal system	tetragonal

---

Record 2
Crystalline TeS2I2 at its relaxed geometry, computed with GGA-PBE.

Cell lengths 9.086, 12.624, 7.950 Å; angles 90.00, 99.84, 90.00 degrees
Space group C2/m (No. 12)
One atom of each set of equivalent atoms:
Te 0.000 0.144 0.000 [4 per cell]
S 0.036 0.000 0.282 [4 per cell]
S 0.215 0.000 0.157 [4 per cell]
I 0.137 0.299 0.231 [8 per cell]

Output
electronic total energy	-2.757	eV per atom
E_form (uncorrected)	0.14	eV/atom
crystal system	monoclinic

---

Record 3
Crystalline TeS4I at its relaxed geometry, computed with GGA-PBE.

Cell lengths 6.193, 7.498, 9.531 Å; angles 88.64, 88.61, 72.74 degrees
Space group P-1 (No. 2)
One atom of each set of equivalent atoms:
Te 0.100 0.425 0.247 [2 per cell]
S 0.014 0.868 0.448 [2 per cell]
S 0.123 0.224 0.026 [2 per cell]
S 0.233 0.214 0.461 [2 per cell]
S 0.436 0.135 0.948 [2 per cell]
I 0.392 0.600 0.756 [2 per cell]

Output
electronic total energy	-3.474	eV per atom
Fermi-level density of states	0.2062	states/eV per atom
E_form (uncorrected)	0.06	eV/atom
crystal system	triclinic

---

Record 4
Crystalline TeS2I at its relaxed geometry, computed with GGA-PBE.

Cell lengths 4.3791, 4.3791, 23.2581 Å; angles 90.00, 90.00, 120.00 degrees
Space group R-3m (No. 166, hexagonal axes)
One atom of each set of equivalent atoms:
Te 0.0000 0.0000 0.0000 [3 per cell]
S 0.0000 0.0000 0.3861 [6 per cell]
I 0.0000 0.0000 0.5000 [3 per cell]

Output
electronic total energy	-3.025	eV per atom
Fermi-level density of states	0.3067	states/eV per atom
E_form (uncorrected)	0.21	eV/atom
crystal system	trigonal
polymorph energy (0 for the lowest one)	0	meV per atom

---

Record 5
Crystalline TeS2I at its relaxed geometry, computed with GGA-PBE.

Cell lengths 4.0892, 4.0892, 25.8282 Å; angles 90.00, 90.00, 120.00 degrees
Space group R-3m (No. 166, hexagonal axes)
One atom of each set of equivalent atoms:
Te 0.0000 0.0000 0.0000 [3 per cell]
S 0.0000 0.0000 0.0954 [6 per cell]
I 0.0000 0.0000 0.5000 [3 per cell]

Output
electronic total energy	-2.650	eV per atom
Fermi-level density of states	0.8469	states/eV per atom
E_form (uncorrected)	0.59	eV/atom
crystal system	trigonal
polymorph energy (0 for the lowest one)	375	meV per atom

---

Record 6
Crystalline TeS3I at its relaxed geometry, computed with GGA-PBE.

Cell lengths 5.105, 5.105, 5.105 Å; angles 90.00, 90.00, 90.00 degrees
Space group Pm-3m (No. 221)
One atom of each set of equivalent atoms:
Te 0.000 0.000 0.000 [1 per cell]
S 0.000 0.000 0.500 [3 per cell]
I 0.500 0.500 0.500 [1 per cell]

Output
electronic total energy	-2.694	eV per atom
Fermi-level density of states	1.5970	states/eV per atom
E_form (uncorrected)	0.72	eV/atom
crystal system	cubic
polymorph energy (0 for the lowest one)	615	meV per atom

---

Record 7
Crystalline TeS2I at its relaxed geometry, computed with GGA-PBE.

Cell lengths 7.607, 7.607, 8.038 Å; angles 90.00, 90.00, 90.00 degrees
Space group I-42d (No. 122)
One atom of each set of equivalent atoms:
Te 0.000 0.000 0.000 [4 per cell]
S 0.201 0.250 0.125 [8 per cell]
I 0.000 0.000 0.500 [4 per cell]

Output
electronic total energy	-2.792	eV per atom
Fermi-level density of states	1.4047	states/eV per atom
E_form (uncorrected)	0.44	eV/atom
crystal system	tetragonal
polymorph energy (0 for the lowest one)	233	meV per atom

---

Record 8
Crystalline Te2S3I at its relaxed geometry, computed with GGA-PBE.

Cell lengths 7.845, 8.078, 8.138 Å; angles 90.19, 118.29, 118.78 degrees
Space group P-1 (No. 2)
One atom of each set of equivalent atoms:
Te 0.000 0.000 0.000 [1 per cell]
Te 0.000 0.500 0.000 [1 per cell]
Te 0.500 0.000 0.000 [1 per cell]
Te 0.500 0.500 0.000 [1 per cell]
S 0.025 0.264 0.796 [2 per cell]
S 0.457 0.732 0.202 [2 per cell]
S 0.461 0.225 0.207 [2 per cell]
I 0.007 0.790 0.665 [2 per cell]

Output
electronic total energy	-3.229	eV per atom
Fermi-level density of states	0.4470	states/eV per atom
E_form (uncorrected)	0.14	eV/atom
crystal system	triclinic

---

Record 9
Crystalline Te3SI at its relaxed geometry, computed with GGA-PBE.

Cell lengths 5.362, 5.362, 5.362 Å; angles 90.00, 90.00, 90.00 degrees
Space group Pm-3m (No. 221)
One atom of each set of equivalent atoms:
Te 0.000 0.000 0.500 [3 per cell]
S 0.000 0.000 0.000 [1 per cell]
I 0.500 0.500 0.500 [1 per cell]

Output
electronic total energy	-2.485	eV per atom
Fermi-level density of states	1.0767	states/eV per atom
E_form (uncorrected)	0.54	eV/atom
crystal system	cubic
polymorph energy (0 for the lowest one)	0	meV per atom

---

Record 10
Crystalline Te3SI at its relaxed geometry, computed with GGA-PBE.

Cell lengths 5.889, 5.889, 5.889 Å; angles 90.00, 90.00, 90.00 degrees
Space group Pm-3m (No. 221)
One atom of each set of equivalent atoms:
Te 0.000 0.000 0.500 [3 per cell]
S 0.500 0.500 0.500 [1 per cell]
I 0.000 0.000 0.000 [1 per cell]

Output
electronic total energy	-1.791	eV per atom
Fermi-level density of states	1.4998	states/eV per atom
E_form (uncorrected)	1.23	eV/atom
crystal system	cubic
polymorph energy (0 for the lowest one)	694	meV per atom

---

Record 11
Crystalline TeS3I at its relaxed geometry, computed with GGA-PBE.

Cell lengths 4.007, 12.356, 7.470 Å; angles 90.00, 102.71, 90.00 degrees
Space group P2_1/m (No. 11)
One atom of each set of equivalent atoms:
Te 0.204 0.250 0.037 [2 per cell]
S 0.221 0.018 0.081 [4 per cell]
S 0.306 0.750 0.188 [2 per cell]
I 0.084 0.750 0.631 [2 per cell]

Output
electronic total energy	-3.308	eV per atom
Fermi-level density of states	0.2400	states/eV per atom
E_form (uncorrected)	0.11	eV/atom
crystal system	monoclinic
polymorph energy (0 for the lowest one)	0	meV per atom

---

Record 12
Crystalline TeS2I at its relaxed geometry, computed with GGA-PBE.

Cell lengths 7.112, 7.112, 7.112 Å; angles 90.00, 90.00, 90.00 degrees
Space group Fm-3m (No. 225)
One atom of each set of equivalent atoms:
Te 0.000 0.000 0.000 [4 per cell]
S 0.250 0.250 0.250 [8 per cell]
I 0.000 0.000 0.500 [4 per cell]

Output
electronic total energy	-2.494	eV per atom
Fermi-level density of states	0.9856	states/eV per atom
E_form (uncorrected)	0.74	eV/atom
crystal system	cubic
polymorph energy (0 for the lowest one)	531	meV per atom

---

Record 13
Crystalline TeS5I at its relaxed geometry, computed with GGA-PBE.

Cell lengths 4.692, 7.105, 13.531 Å; angles 90.00, 90.00, 90.00 degrees
Space group Imm2 (No. 44)
One atom of each set of equivalent atoms:
Te 0.000 0.000 0.000 [2 per cell]
S 0.000 0.000 0.190 [2 per cell]
S 0.000 0.279 0.494 [4 per cell]
S 0.203 0.500 0.076 [4 per cell]
I 0.000 0.500 0.770 [2 per cell]

Output
electronic total energy	-3.140	eV per atom
Fermi-level density of states	0.3307	states/eV per atom
E_form (uncorrected)	0.48	eV/atom
crystal system	orthorhombic

---

Record 14
Crystalline TeS6I2 at its relaxed geometry, computed with GGA-PBE.

Cell lengths 4.319, 7.473, 10.800 Å; angles 99.81, 95.32, 104.30 degrees
Space group P-1 (No. 2)
One atom of each set of equivalent atoms:
Te 0.000 0.000 0.000 [1 per cell]
S 0.022 0.726 0.622 [2 per cell]
S 0.141 0.493 0.673 [2 per cell]
S 0.188 0.733 0.448 [2 per cell]
I 0.418 0.764 0.085 [2 per cell]

Output
electronic total energy	-3.392	eV per atom
Fermi-level density of states	0.0036	states/eV per atom
E_form (uncorrected)	0.05	eV/atom
crystal system	triclinic

---

Record 15
Crystalline TiTeSI2 at its relaxed geometry, computed with GGA-PBE.

Cell lengths 5.297, 5.297, 5.535 Å; angles 90.00, 90.00, 90.00 degrees
Space group P4/mmm (No. 123)
One atom of each set of equivalent atoms:
Ti 0.000 0.000 0.000 [1 per cell]
Te 0.000 0.000 0.500 [1 per cell]
S 0.500 0.500 0.500 [1 per cell]
I 0.000 0.500 0.000 [2 per cell]

Output
electronic total energy	-3.428	eV per atom
Fermi-level density of states	1.4450	states/eV per atom
E_form (uncorrected)	0.22	eV/atom
crystal system	tetragonal
polymorph energy (0 for the lowest one)	0	meV per atom

---

Record 16
Crystalline TiTeSI2 at its relaxed geometry, computed with GGA-PBE.

Cell lengths 5.464, 5.464, 5.281 Å; angles 90.00, 90.00, 90.00 degrees
Space group P4/mmm (No. 123)
One atom of each set of equivalent atoms:
Ti 0.000 0.000 0.000 [1 per cell]
Te 0.500 0.500 0.000 [1 per cell]
S 0.500 0.500 0.500 [1 per cell]
I 0.000 0.500 0.500 [2 per cell]

Output
electronic total energy	-2.909	eV per atom
Fermi-level density of states	2.1860	states/eV per atom
E_form (uncorrected)	0.74	eV/atom
crystal system	tetragonal
polymorph energy (0 for the lowest one)	519	meV per atom

---

Record 17
Crystalline TlTeS2I at its relaxed geometry, computed with GGA-PBE.

Cell lengths 6.926, 5.522, 9.216 Å; angles 90.00, 109.20, 90.00 degrees
Space group P2_1/m (No. 11)
One atom of each set of equivalent atoms:
Tl 0.242 0.250 0.470 [2 per cell]
Te 0.125 0.250 0.906 [2 per cell]
S 0.095 0.750 0.347 [2 per cell]
S 0.111 0.750 0.944 [2 per cell]
I 0.425 0.750 0.739 [2 per cell]

Output
electronic total energy	-3.221	eV per atom
Fermi-level density of states	0.0095	states/eV per atom
E_form (uncorrected)	-0.16	eV/atom
crystal system	monoclinic

---

Record 18
Crystalline TlTe2SI at its relaxed geometry, computed with GGA-PBE.

Cell lengths 5.376, 5.376, 5.777 Å; angles 90.00, 90.00, 90.00 degrees
Space group P4/mmm (No. 123)
One atom of each set of equivalent atoms:
Tl 0.000 0.000 0.000 [1 per cell]
Te 0.000 0.500 0.500 [2 per cell]
S 0.500 0.500 0.500 [1 per cell]
I 0.500 0.500 0.000 [1 per cell]

Output
electronic total energy	-2.699	eV per atom
Fermi-level density of states	1.4558	states/eV per atom
E_form (uncorrected)	0.17	eV/atom
crystal system	tetragonal
polymorph energy (0 for the lowest one)	0	meV per atom

---

Record 19
Crystalline TlTe2SI at its relaxed geometry, computed with GGA-PBE.

Cell lengths 5.866, 5.866, 6.145 Å; angles 90.00, 90.00, 90.00 degrees
Space group P4/mmm (No. 123)
One atom of each set of equivalent atoms:
Tl 0.000 0.000 0.000 [1 per cell]
Te 0.000 0.500 0.000 [2 per cell]
S 0.500 0.500 0.500 [1 per cell]
I 0.000 0.000 0.500 [1 per cell]

Output
electronic total energy	-1.983	eV per atom
Fermi-level density of states	1.2203	states/eV per atom
E_form (uncorrected)	0.88	eV/atom
crystal system	tetragonal
polymorph energy (0 for the lowest one)	717	meV per atom

---

Record 20
Crystalline TeWSI2 at its relaxed geometry, computed with GGA-PBE.

Cell lengths 5.364, 5.364, 5.278 Å; angles 90.00, 90.00, 90.00 degrees
Space group P4/mmm (No. 123)
One atom of each set of equivalent atoms:
Te 0.000 0.000 0.000 [1 per cell]
W 0.000 0.000 0.500 [1 per cell]
S 0.500 0.500 0.000 [1 per cell]
I 0.000 0.500 0.500 [2 per cell]

Output
electronic total energy	-3.792	eV per atom
Fermi-level density of states	1.1019	states/eV per atom
E_form (uncorrected)	0.87	eV/atom
crystal system	tetragonal
polymorph energy (0 for the lowest one)	0	meV per atom

---

Record 21
Crystalline Te2WSI at its relaxed geometry, computed with GGA-PBE.

Cell lengths 5.197, 5.197, 5.421 Å; angles 90.00, 90.00, 90.00 degrees
Space group P4/mmm (No. 123)
One atom of each set of equivalent atoms:
Te 0.000 0.500 0.000 [2 per cell]
W 0.000 0.000 0.500 [1 per cell]
S 0.500 0.500 0.000 [1 per cell]
I 0.500 0.500 0.500 [1 per cell]

Output
electronic total energy	-3.522	eV per atom
Fermi-level density of states	0.7947	states/eV per atom
E_form (uncorrected)	1.46	eV/atom
crystal system	tetragonal
polymorph energy (0 for the lowest one)	644	meV per atom

---

Record 22
Crystalline TeWSI2 at its relaxed geometry, computed with GGA-PBE.

Cell lengths 5.401, 5.401, 5.374 Å; angles 90.00, 90.00, 90.00 degrees
Space group P4/mmm (No. 123)
One atom of each set of equivalent atoms:
Te 0.000 0.000 0.000 [1 per cell]
W 0.500 0.500 0.000 [1 per cell]
S 0.000 0.000 0.500 [1 per cell]
I 0.000 0.500 0.500 [2 per cell]

Output
electronic total energy	-3.138	eV per atom
Fermi-level density of states	1.5929	states/eV per atom
E_form (uncorrected)	1.53	eV/atom
crystal system	tetragonal
polymorph energy (0 for the lowest one)	653	meV per atom

---

Record 23
Crystalline Te2WSI at its relaxed geometry, computed with GGA-PBE.

Cell lengths 5.254, 5.254, 5.363 Å; angles 90.00, 90.00, 90.00 degrees
Space group P4/mmm (No. 123)
One atom of each set of equivalent atoms:
Te 0.000 0.500 0.000 [2 per cell]
W 0.000 0.000 0.000 [1 per cell]
S 0.500 0.500 0.500 [1 per cell]
I 0.000 0.000 0.500 [1 per cell]

Output
electronic total energy	-4.166	eV per atom
Fermi-level density of states	0.9126	states/eV per atom
E_form (uncorrected)	0.82	eV/atom
crystal system	tetragonal
polymorph energy (0 for the lowest one)	0	meV per atom

---

Record 24
Crystalline YTe2SI at its relaxed geometry, computed with GGA-PBE.

Cell lengths 5.943, 5.943, 5.940 Å; angles 90.00, 90.00, 90.00 degrees
Space group P4/mmm (No. 123)
One atom of each set of equivalent atoms:
Y 0.000 0.000 0.000 [1 per cell]
Te 0.000 0.500 0.000 [2 per cell]
S 0.500 0.500 0.500 [1 per cell]
I 0.000 0.000 0.500 [1 per cell]

Output
electronic total energy	-3.604	eV per atom
Fermi-level density of states	1.5255	states/eV per atom
E_form (uncorrected)	0.08	eV/atom
crystal system	tetragonal
polymorph energy (0 for the lowest one)	167	meV per atom

---

Record 25
Crystalline YTe2SI at its relaxed geometry, computed with GGA-PBE.

Cell lengths 5.284, 5.284, 5.430 Å; angles 90.00, 90.00, 90.00 degrees
Space group P4/mmm (No. 123)
One atom of each set of equivalent atoms:
Y 0.000 0.000 0.000 [1 per cell]
Te 0.000 0.500 0.500 [2 per cell]
S 0.500 0.500 0.500 [1 per cell]
I 0.500 0.500 0.000 [1 per cell]

Output
electronic total energy	-3.771	eV per atom
Fermi-level density of states	0.5136	states/eV per atom
E_form (uncorrected)	-0.09	eV/atom
crystal system	tetragonal
polymorph energy (0 for the lowest one)	0	meV per atom

---

Record 26
Crystalline Th6S12I at its relaxed geometry, computed with GGA-PBE.

Cell lengths 13.0917, 13.0917, 10.3571 Å; angles 90.00, 90.00, 120.00 degrees
Space group R-3m (No. 166, hexagonal axes)
One atom of each set of equivalent atoms:
Th 0.0561 0.5281 0.2852 [18 per cell]
S 0.0000 0.3699 0.5000 [18 per cell]
S 0.0911 0.1822 0.3677 [18 per cell]
I 0.0000 0.0000 0.0000 [3 per cell]

Output
electronic total energy	-6.784	eV per atom
Fermi-level density of states	0.5927	states/eV per atom
E_form (uncorrected)	-1.75	eV/atom
crystal system	trigonal